# K3Dy2AlSe6

A relaxed structure of K3Dy2AlSe6 (GGA-PBE, Alexandria via LeMat-Bulk).

Lattice parameters (Å, degrees): 7.1207 7.1207 8.0256 98.55 98.55 120.03
Closest atoms and distances in Å follow each position.
Sites, in units of the cell vectors:
K 0.0000 0.0000 0.0000  6 Se 3.27-3.45
K 0.3287 0.6713 0.0000  6 Se 3.27-3.41
K 0.6713 0.3287 0.0000  6 Se 3.27-3.41
Dy 0.1661 0.8339 0.5000  6 Se 2.89
Dy 0.8339 0.1661 0.5000  6 Se 2.89
Al 0.5000 0.5000 0.5000  6 Se 2.67
Se 0.1247 0.4346 0.3036  1 Al 2.67, 2 Dy 2.89
Se 0.2569 0.2569 0.6971  1 Al 2.67, 2 Dy 2.89
Se 0.4346 0.1247 0.3036  1 Al 2.67, 2 Dy 2.89
Se 0.5654 0.8753 0.6964  1 Al 2.67, 2 Dy 2.89
Se 0.7431 0.7431 0.3029  1 Al 2.67, 2 Dy 2.89
Se 0.8753 0.5654 0.6964  1 Al 2.67, 2 Dy 2.89

Output
Calculated total energy = -4.57 eV per atom
Formation energy without anion corrections = -1.477 eV/atom
SG = C2/m (12)



# HRhI3

A relaxed structure of HRhI3 (GGA-PBE, Alexandria via LeMat-Bulk).

Lattice parameters (Å, degrees): 4.9745 4.9745 4.9745 90.00 90.00 90.00
Closest atoms and distances in Å follow each position.
Sites, in units of the cell vectors:
H 0.0000 0.0000 0.0000  6 I 2.49
Rh 0.5000 0.5000 0.5000  12 I 3.52
I 0.0000 0.0000 0.5000  2 H 2.49
I 0.0000 0.5000 0.0000  2 H 2.49
I 0.5000 0.0000 0.0000  2 H 2.49

Output
Calculated total energy = -1.91 eV per atom
Distance to the lowest polymorph of the same formula = 570 meV per atom
SG = Pm-3m (221)



# Hf3ZrV

A relaxed structure of Hf3ZrV (GGA-PBE, Alexandria via LeMat-Bulk).

Lattice parameters (Å, degrees): 5.0818 5.0818 5.0818 90.00 90.00 90.00
Closest atoms and distances in Å follow each position.
Sites, in units of the cell vectors:
Hf 0.0000 0.0000 0.5000  2 Zr 2.54
Hf 0.0000 0.5000 0.0000  2 Zr 2.54
Hf 0.5000 0.0000 0.0000  2 Zr 2.54
Zr 0.0000 0.0000 0.0000  6 Hf 2.54
V 0.5000 0.5000 0.5000  12 Hf 3.59

Output
Calculated total energy = -8.00 eV per atom
E_form = 1.503 eV per atom
Distance to the lowest polymorph of the same formula = 858 meV per atom
SG = Pm-3m (221)



# HoZr2Ni9

A relaxed structure of HoZr2Ni9 (GGA-PBE, Alexandria via LeMat-Bulk).

Lattice parameters (Å, degrees): 8.4482 8.4482 8.4482 33.63 33.63 33.63
Closest atoms and distances in Å follow each position.
Sites, in units of the cell vectors:
Ho 0.0000 0.0000 0.0000  6 Ni 2.82
Zr 0.1392 0.1392 0.1392  12 Ni 2.77-2.96
Zr 0.8608 0.8608 0.8608  12 Ni 2.77-2.96
Ni 0.0809 0.5868 0.5868  7 Ni 2.42-2.47
Ni 0.3337 0.3337 0.3337  6 Ni 2.47
Ni 0.4132 0.4132 0.9191  7 Ni 2.42-2.47
Ni 0.4132 0.9191 0.4132  7 Ni 2.42-2.47
Ni 0.5000 0.5000 0.5000  6 Ni 2.42
Ni 0.5868 0.0809 0.5868  7 Ni 2.42-2.47
Ni 0.5868 0.5868 0.0809  7 Ni 2.42-2.47
Ni 0.6663 0.6663 0.6663  6 Ni 2.47
Ni 0.9191 0.4132 0.4132  7 Ni 2.42-2.47

Output
Calculated total energy = -6.57 eV per atom
E_form = -0.430 eV per atom
SG = R-3m (166)



# Ac3La4NbN8

A relaxed structure of Ac3La4NbN8 (GGA-PBE, Alexandria via LeMat-Bulk).

Lattice parameters (Å, degrees): 7.4014 7.4014 7.4014 60.35 60.35 60.35
Closest atoms and distances in Å follow each position.
Sites, in units of the cell vectors:
Ac 0.0000 0.5000 0.5000  6 N 2.67
Ac 0.5000 0.0000 0.5000  6 N 2.67
Ac 0.5000 0.5000 0.0000  6 N 2.67
La 0.0000 0.0000 0.5000  6 N 2.58-2.61
La 0.0000 0.5000 0.0000  6 N 2.58-2.61
La 0.5000 0.0000 0.0000  6 N 2.58-2.61
La 0.5000 0.5000 0.5000  6 N 2.94
Nb 0.0000 0.0000 0.0000  6 N 2.31
N 0.2153 0.7797 0.7797  1 Nb 2.31
N 0.2203 0.2203 0.7847  1 Nb 2.31
N 0.2203 0.7847 0.2203  1 Nb 2.31
N 0.2453 0.2453 0.2453  3 La 2.58, 3 Ac 2.67
N 0.7547 0.7547 0.7547  3 La 2.58, 3 Ac 2.67
N 0.7797 0.2153 0.7797  1 Nb 2.31
N 0.7797 0.7797 0.2153  1 Nb 2.31
N 0.7847 0.2203 0.2203  1 Nb 2.31

Output
Calculated total energy = -7.89 eV per atom
Formation energy without anion corrections = -1.097 eV/atom
SG = R-3m (166)



# NdUIn2Te4

A relaxed structure of NdUIn2Te4 (GGA-PBE, Alexandria via LeMat-Bulk).

Lattice parameters (Å, degrees): 7.7005 4.4462 8.5968 90.00 107.35 90.00
Closest atoms and distances in Å follow each position.
Sites, in units of the cell vectors:
Nd 0.0000 0.0000 0.0000  6 Te 3.19
U 0.5000 0.5000 0.0000  6 Te 3.13
In 0.0000 0.5000 0.5000  6 Te 3.44-3.45
In 0.5000 0.0000 0.5000  6 Te 3.39
Te 0.2478 0.5000 0.2262  1 U 3.13, 2 Nd 3.19, 3 In 3.39-3.44
Te 0.2650 0.0000 0.7769  2 U 3.13, 1 Nd 3.19, 3 In 3.39-3.45
Te 0.7350 0.0000 0.2231  2 U 3.13, 1 Nd 3.19, 3 In 3.39-3.45
Te 0.7522 0.5000 0.7738  1 U 3.13, 2 Nd 3.19, 3 In 3.39-3.44

Output
Calculated total energy = -4.97 eV per atom
Formation energy without anion corrections = -0.705 eV/atom
SG = P2/m (10)